A plane-wave DFT calculation with PBE-GGA was carried out for an optimized crystal structure of YIrRu2.

Unit cell a=4.0477 b=4.0477 c=4.0664 alpha=90.00 beta=90.00 gamma=90.00
Last column: nearest neighbours and their distance in Å.
Fractional coordinates of all 4 atoms:
Y: 0.0000 0.0000 0.0000  4 Ir 2.86, 8 Ru 2.87
Ir: 0.5000 0.5000 0.0000  4 Y 2.86, 8 Ru 2.87
Ru: 0.0000 0.5000 0.5000  4 Ru 2.86, 4 Ir 2.87, 4 Y 2.87
Ru: 0.5000 0.0000 0.5000  4 Ru 2.86, 4 Ir 2.87, 4 Y 2.87

Computed properties:
The formation energy is -0.05 eV/f.u. Its space group is P4/mmm. The calculation puts the total energy at -8.48 eV per atom.



A plane-wave DFT calculation with PBE-GGA was carried out for an optimized crystal structure of CaGdGaPb.

Unit cell a=5.3537 b=5.3537 c=5.3537 alpha=60.00 beta=60.00 gamma=60.00
Last column: nearest neighbours and their distance in Å.
Fractional coordinates of all 4 atoms:
Ca: 0.0000 0.0000 0.0000  4 Ga 3.28, 4 Pb 3.28
Gd: 0.5000 0.5000 0.5000  4 Ga 3.28, 4 Pb 3.28
Ga: 0.7500 0.7500 0.7500  4 Gd 3.28, 4 Ca 3.28
Pb: 0.2500 0.2500 0.2500  4 Gd 3.28, 4 Ca 3.28

Computed properties:
The formation energy is -1.83 eV/f.u. Its space group is F-43m. The calculation puts the total energy at -6.16 eV per atom.



A plane-wave DFT calculation with PBE-GGA was carried out for an optimized crystal structure of La3Tl3CrSe8.

Unit cell a=9.0911 b=9.0911 c=9.0911 alpha=56.06 beta=56.06 gamma=56.06
Last column: nearest neighbours and their distance in Å.
Fractional coordinates of all 15 atoms:
La: 0.0000 0.5000 0.5000  6 Se 2.98-3.03
La: 0.5000 0.0000 0.5000  6 Se 2.98-3.03
La: 0.5000 0.5000 0.0000  6 Se 2.98-3.03
Tl: 0.0000 0.0000 0.5000  6 Se 3.27-3.29
Tl: 0.0000 0.5000 0.0000  6 Se 3.27-3.29
Tl: 0.5000 0.0000 0.0000  6 Se 3.27-3.29
Cr: 0.0000 0.0000 0.0000  6 Se 2.62
Se: 0.2106 0.2106 0.7736  1 Cr 2.62
Se: 0.2106 0.7736 0.2106  1 Cr 2.62
Se: 0.2264 0.7894 0.7894  1 Cr 2.62
Se: 0.2605 0.2605 0.2605  3 La 2.98, 3 Tl 3.27
Se: 0.7395 0.7395 0.7395  3 La 2.98, 3 Tl 3.27
Se: 0.7736 0.2106 0.2106  1 Cr 2.62
Se: 0.7894 0.2264 0.7894  1 Cr 2.62
Se: 0.7894 0.7894 0.2264  1 Cr 2.62

Computed properties:
Its space group is R-3m. The calculation puts the total energy at -5.13 eV per atom.



A plane-wave DFT calculation with PBE-GGA was carried out for an optimized crystal structure of Ga2IO.

Unit cell a=4.8967 b=4.8967 c=4.8967 alpha=60.00 beta=60.00 gamma=60.00
Last column: nearest neighbours and their distance in Å.
Fractional coordinates of all 4 atoms:
Ga: 0.2500 0.2500 0.2500  4 O 3.00, 4 I 3.00
Ga: 0.7500 0.7500 0.7500  4 O 3.00, 4 I 3.00
I: 0.0000 0.0000 0.0000  8 Ga 3.00
O: 0.5000 0.5000 0.5000  8 Ga 3.00

Computed properties:
Its space group is Fm-3m. The calculation puts the total energy at -2.94 eV per atom.